Record 1
Entry from Alexandria via LeMat-Bulk: a geometry-optimized TaCu2Re structure (PBE).

Cell lengths 2.726, 2.726, 7.690 Å; angles 90.00, 90.00, 90.00 degrees
Fractional coordinates of all 4 atoms:
1 Cu 0.000 0.000 0.022
2 Cu 0.500 0.500 0.237
3 Re 0.000 0.000 0.474
4 Ta 0.500 0.500 0.768

- Magnetization: 0.00 μB/atom
- Formation enthalpy at 0 K: 171.1 meV per atom
- Space-group type: No. 99

***

Record 2
Entry from Alexandria via LeMat-Bulk: a geometry-optimized InRh2Au structure (PBE).

Cell lengths 2.932, 3.904, 5.822 Å; angles 90.00, 90.00, 90.00 degrees
Fractional coordinates of all 4 atoms:
1 Rh 0.000 0.000 0.009
2 In 0.500 0.500 0.764
3 Au 0.000 0.000 0.487
4 Rh 0.500 0.500 0.240

- Magnetization: 0.00 μB/atom
- Formation enthalpy at 0 K: -29.5 meV per atom
- Space-group type: No. 25

***

Record 3
Entry from Alexandria via LeMat-Bulk: a geometry-optimized BaMg2NbRu structure (PBE).

Cell lengths 5.236, 4.845, 5.236 Å; angles 90.00, 90.00, 90.00 degrees
Site moments in Bohr magnetons follow the coordinates.
Fractional coordinates of all 5 atoms:
1 Ru 0.000 0.000 0.000  -0.05
2 Ba 0.500 0.500 0.500  0.06
3 Mg 0.000 0.000 0.500  0.00
4 Mg 0.500 0.000 0.000  -0.01
5 Nb 0.000 0.500 0.000  0.88

- Magnetization: 0.24 μB/atom
- Formation enthalpy at 0 K: 247.5 meV per atom
- Space-group type: No. 123

***

Record 4
Entry from Alexandria via LeMat-Bulk: a geometry-optimized RbLaS2 structure (PBE).

Cell lengths 7.772, 7.772, 7.497 Å; angles 58.78, 58.78, 90.00 degrees
Fractional coordinates of all 8 atoms:
1 Rb 0.250 0.750 0.500
2 S 0.064 0.625 0.250
3 La 0.750 0.250 0.500
4 S 0.875 0.936 0.750
5 La 0.000 0.000 0.000
6 S 0.686 0.125 0.250
7 S 0.375 0.314 0.750
8 Rb 0.500 0.500 0.000

- Magnetization: 0.00 μB/atom
- Space-group type: No. 122
- Energy relative to the elements, uncorrected: -6.717 eV per formula unit

***

Record 5
Entry from Alexandria via LeMat-Bulk: a geometry-optimized Sb3PbBr structure (PBE).

Cell lengths 5.837, 5.837, 5.837 Å; angles 90.00, 90.00, 90.00 degrees
Fractional coordinates of all 5 atoms:
1 Sb 0.500 0.000 0.000
2 Sb 0.000 0.500 0.000
3 Pb 0.000 0.000 0.000
4 Sb 0.000 0.000 0.500
5 Br 0.500 0.500 0.500

- Magnetization: 0.00 μB/atom
- Space-group type: No. 221
- Energy relative to the elements, uncorrected: 4.252 eV per formula unit

***

Record 6
Entry from Alexandria via LeMat-Bulk: a geometry-optimized LuZn2In structure (PBE).

Cell lengths 3.468, 3.468, 6.932 Å; angles 90.00, 90.00, 90.00 degrees
Fractional coordinates of all 4 atoms:
1 Zn 0.000 0.000 0.759
2 Lu 0.500 0.500 0.500
3 In 0.500 0.500 0.000
4 Zn 0.000 0.000 0.241

- Magnetization: 0.02 μB/atom
- Formation enthalpy at 0 K: -140.2 meV per atom
- Space-group type: No. 123

***

Record 7
Entry from Alexandria via LeMat-Bulk: a geometry-optimized DyEr4Sc5 structure (PBE).

Cell lengths 5.313, 11.319, 8.010 Å; angles 136.51, 109.37, 90.00 degrees
Fractional coordinates of all 10 atoms:
1 Er 0.620 0.867 0.241
2 Er 0.879 0.626 0.758
3 Sc 0.160 0.110 0.320
4 Er 0.121 0.374 0.242
5 Sc 0.500 0.500 0.000
6 Dy 0.500 0.000 0.000
7 Sc 0.840 0.890 0.680
8 Sc 0.151 0.703 0.302
9 Sc 0.849 0.297 0.698
10 Er 0.380 0.133 0.759

- Magnetization: 0.00 μB/atom
- Formation enthalpy at 0 K: 257.9 meV per atom
- Space-group type: No. 12

***

Record 8
Entry from Alexandria via LeMat-Bulk: a geometry-optimized YZnAs3 structure (PBE).

Cell lengths 4.851, 4.851, 4.851 Å; angles 90.00, 90.00, 90.00 degrees
Fractional coordinates of all 5 atoms:
1 Zn 0.000 0.000 0.000
2 As 0.500 0.000 0.000
3 As 0.000 0.000 0.500
4 Y 0.500 0.500 0.500
5 As 0.000 0.500 0.000

- Magnetization: 0.00 μB/atom
- Formation enthalpy at 0 K: 29.1 meV per atom
- Space-group type: No. 221

***

Record 9
Entry from Alexandria via LeMat-Bulk: a geometry-optimized Ho2InRh3 structure (PBE).

Cell lengths 4.731, 4.731, 11.590 Å; angles 90.00, 90.00, 120.00 degrees
Fractional coordinates of all 12 atoms:
1 Rh 0.667 0.333 0.579
2 Rh 0.333 0.667 0.421
3 Ho 0.000 0.000 0.000
4 Rh 0.333 0.667 0.916
5 Ho 0.000 0.000 0.500
6 Rh 0.000 0.000 0.251
7 In 0.333 0.667 0.665
8 Rh 0.667 0.333 0.084
9 Ho 0.667 0.333 0.823
10 Rh 0.000 0.000 0.749
11 Ho 0.333 0.667 0.177
12 In 0.667 0.333 0.335

- Magnetization: 0.00 μB/atom
- Formation enthalpy at 0 K: -813.9 meV per atom
- Space-group type: No. 164

***

Record 10
Entry from Alexandria via LeMat-Bulk: a geometry-optimized TbSm2Rh2 structure (PBE).

Cell lengths 3.816, 4.702, 13.554 Å; angles 90.00, 98.09, 90.00 degrees
Fractional coordinates of all 10 atoms:
1 Sm 0.948 0.750 0.896
2 Sm 0.052 0.250 0.104
3 Rh 0.466 0.250 0.932
4 Tb 0.364 0.250 0.729
5 Tb 0.636 0.750 0.271
6 Rh 0.159 0.250 0.318
7 Rh 0.534 0.750 0.068
8 Rh 0.841 0.750 0.682
9 Sm 0.267 0.750 0.534
10 Sm 0.733 0.250 0.466

- Magnetization: 0.00 μB/atom
- Formation enthalpy at 0 K: -561.7 meV per atom
- Space-group type: No. 63

***

Record 11
Entry from Alexandria via LeMat-Bulk: a geometry-optimized LiBe2Re structure (PBE).

Cell lengths 3.935, 3.935, 3.935 Å; angles 60.00, 60.00, 60.00 degrees
Site moments in Bohr magnetons follow the coordinates.
Fractional coordinates of all 4 atoms:
1 Be 0.250 0.250 0.250  -0.01
2 Re 0.500 0.500 0.500  0.56
3 Li 0.000 0.000 0.000  -0.01
4 Be 0.750 0.750 0.750  -0.01

- Magnetization: 0.14 μB/atom
- Formation enthalpy at 0 K: 282.5 meV per atom
- Space-group type: No. 225

***

Record 12
Entry from Alexandria via LeMat-Bulk: a geometry-optimized YZr2Tc structure (PBE).

Cell lengths 3.512, 4.924, 4.952 Å; angles 90.00, 90.00, 90.00 degrees
Fractional coordinates of all 4 atoms:
1 Zr 0.000 0.000 0.000
2 Tc 0.500 0.000 0.500
3 Y 0.000 0.500 0.500
4 Zr 0.500 0.500 0.000

- Magnetization: 0.00 μB/atom
- Formation enthalpy at 0 K: 168.6 meV per atom
- Space-group type: No. 47